1.
Below is a relaxed NbCoHgI crystal, with properties calculated at the PBE-GGA level.

Values from the calculation:
DOS(E_F), states/eV/atom: 0.85
Offset from the most stable computed form, eV per formula unit: 0.041

POSCAR file:
```
NbCoHgI
1.0
-2.6169 -6.3490 -5.0578
2.0460 -2.2854 1.8103
-4.0886 -0.0104 4.6077
I Nb Co Hg
2 2 2 2
Direct
0.4316 0.0000 0.1335 I
0.4316 0.5000 0.6335 I
0.6870 0.0000 0.5513 Nb
0.6870 0.5000 0.0513 Nb
0.8433 0.0000 0.2695 Co
0.8433 0.5000 0.7695 Co
0.0669 0.0000 0.6762 Hg
0.0669 0.5000 0.1762 Hg
```

2.
Below is a relaxed NbCoHgI crystal, with properties calculated at the PBE-GGA level.

Values from the calculation:
DOS(E_F), states/eV/atom: 0.79
Offset from the most stable computed form, eV per formula unit: 0.056

POSCAR file:
```
NbCoHgI
1.0
3.6166 0.0000 0.0000
-1.8083 3.1321 0.0000
0.0000 0.0000 24.0416
I Nb Co Hg
3 3 3 3
Direct
0.0000 0.0000 0.3891 I
0.3333 0.6667 0.0558 I
0.6667 0.3333 0.7224 I
0.0000 0.0000 0.6353 Nb
0.3333 0.6667 0.3020 Nb
0.6667 0.3333 0.9686 Nb
0.0000 0.0000 0.9180 Co
0.3333 0.6667 0.5846 Co
0.6667 0.3333 0.2513 Co
0.0000 0.0000 0.1798 Hg
0.3333 0.6667 0.8464 Hg
0.6667 0.3333 0.5131 Hg
```

3.
Below is a relaxed NbCoHgI crystal, with properties calculated at the PBE-GGA level.

Values from the calculation:
DOS(E_F), states/eV/atom: 0.83
Offset from the most stable computed form, eV per formula unit: 0.458

POSCAR file:
```
NbCoHgI
1.0
4.1261 0.0030 0.0588
-2.0572 3.5625 0.0621
-0.4709 -0.7561 6.7942
I Nb Co Hg
1 1 1 1
Direct
0.5577 0.0240 0.3624 I
0.8371 0.6371 0.0754 Nb
0.4890 0.9566 0.9960 Co
0.1259 0.2611 0.8118 Hg
```

4.
Below is a relaxed NbCoHgI crystal, with properties calculated at the PBE-GGA level.

Values from the calculation:
DOS(E_F), states/eV/atom: 0.72
Offset from the most stable computed form, eV per formula unit: 0.792

POSCAR file:
```
NbCoHgI
1.0
3.4791 0.0000 0.0000
0.0000 4.0210 0.0000
0.0000 0.0000 12.3715
I Nb Co Hg
2 2 2 2
Direct
0.0000 0.0000 0.2913 I
0.0000 0.5000 0.7913 I
0.5000 0.0000 0.6642 Nb
0.5000 0.5000 0.1642 Nb
0.0000 0.0000 0.5298 Co
0.0000 0.5000 0.0298 Co
0.5000 0.0000 0.0002 Hg
0.5000 0.5000 0.5002 Hg
```

5.
Below is a relaxed NbCoHgI crystal, with properties calculated at the PBE-GGA level.

Values from the calculation:
DOS(E_F), states/eV/atom: 1.04
Offset from the most stable computed form, eV per formula unit: 0.098

POSCAR file:
```
NbCoHgI
1.0
3.5440 -0.0002 0.0022
-1.7681 3.0709 -0.0025
-0.1646 -1.9133 8.5220
I Nb Co Hg
1 1 1 1
Direct
0.8314 0.2042 0.4422 I
0.5864 0.6908 0.6889 Nb
0.9753 0.4550 0.8443 Co
0.3831 0.2517 0.0535 Hg
```

6.
Below is a relaxed NbCoHgI crystal, with properties calculated at the PBE-GGA level.

Values from the calculation:
DOS(E_F), states/eV/atom: 0.42
Offset from the most stable computed form, eV per formula unit: 0.639

POSCAR file:
```
NbCoHgI
1.0
-6.4824 -0.6888 -0.8425
-0.3315 -1.0297 3.3924
2.4534 8.1446 2.7118
I Nb Co Hg
2 2 2 2
Direct
0.5893 0.0000 0.8889 I
0.5893 0.5000 0.3889 I
0.2909 0.0000 0.5291 Nb
0.2909 0.5000 0.0291 Nb
0.0547 0.0000 0.0168 Co
0.0547 0.5000 0.5168 Co
0.0362 0.0000 0.7306 Hg
0.0362 0.5000 0.2306 Hg
```

7.
Below is a relaxed NbCoHgI crystal, with properties calculated at the PBE-GGA level.

Values from the calculation:
DOS(E_F), states/eV/atom: 0.66
Offset from the most stable computed form, eV per formula unit: 0.524

POSCAR file:
```
NbCoHgI
1.0
-1.0812 -2.5970 1.7678
3.1504 -0.1761 1.6682
-2.3518 5.4784 5.0195
I Nb Co Hg
1 1 1 1
Direct
0.2316 0.0000 0.3481 I
0.7163 0.0000 0.0100 Nb
0.2895 0.5000 0.1209 Co
0.1424 0.5000 0.7666 Hg
```